[1]
The following is a PBE-GGA calculation of Na2TaNiPd after structural relaxation, from the Alexandria database.

Output
The formation energy is 1.522 eV per atom. The value obtained for the final energy is -17.853 eV per cell. As for the total magnetization: 0.296 μB/f.u. The symmetry is P4/mmm (123).

POSCAR file:
```
Na2TaNiPd
1.0
4.7269 0.0000 0.0000
0.0000 4.8668 0.0000
0.0000 0.0000 4.7269
Ni Na Pd Ta
1 2 1 1
direct
0.0000 0.5000 0.0000
0.0000 0.0000 0.5000
0.5000 0.0000 0.0000
0.0000 0.0000 0.0000
0.5000 0.5000 0.5000
```

[2]
The following is a PBE-GGA calculation of NaYNi2Pd after structural relaxation, from the Alexandria database.

Output
The formation energy is 1.203 eV per atom. The value obtained for the final energy is -18.523 eV per cell. As for the total magnetization: 0.000 μB/f.u. The symmetry is P4/mmm (123).

POSCAR file:
```
NaYNi2Pd
1.0
4.6405 0.0000 0.0000
0.0000 4.6405 0.0000
0.0000 0.0000 5.3064
Y Ni Pd Na
1 2 1 1
direct
0.0000 0.0000 0.0000
0.0000 0.5000 0.0000
0.5000 0.0000 0.0000
0.5000 0.5000 0.5000
0.0000 0.0000 0.5000
```

[3]
The following is a PBE-GGA calculation of NaPm3Ni after structural relaxation, from the Alexandria database.

Output
The formation energy is 0.063 eV per atom. The value obtained for the final energy is -21.039 eV per cell. As for the total magnetization: 0.001 μB/f.u. The symmetry is Pm-3m (221).

POSCAR file:
```
NaPm3Ni
1.0
-3.0558 -4.4909 0.8097
4.4680 -2.7462 1.6301
-0.9281 1.5657 5.1816
Ni Na Pm
1 1 3
direct
0.0000 0.0000 0.0000
0.5000 0.5000 0.5000
0.0000 0.5000 0.0000
0.0000 0.0000 0.5000
0.5000 0.0000 0.0000
```

[4]
The following is a PBE-GGA calculation of NaPmNi4 after structural relaxation, from the Alexandria database.

Output
The formation energy is -0.137 eV per atom. The value obtained for the final energy is -30.020 eV per cell. As for the total magnetization: 0.000 μB/f.u. The symmetry is F-43m (216).

POSCAR file:
```
NaPmNi4
1.0
-1.9160 -2.5541 3.8915
1.8458 -4.5289 1.1920
2.7074 -0.5879 4.2027
Ni Na Pm
4 1 1
direct
0.6253 0.6253 0.1242
0.6253 0.1242 0.6253
0.6253 0.6253 0.6253
0.1242 0.6253 0.6253
0.0000 0.0000 0.0000
0.2500 0.2500 0.2500
```

[5]
The following is a PBE-GGA calculation of NaPm12Ni6 after structural relaxation, from the Alexandria database.

Output
The formation energy is -0.193 eV per atom. The value obtained for the final energy is -96.690 eV per cell. As for the total magnetization: 0.000 μB/f.u. The symmetry is Im-3 (204).

POSCAR file:
```
NaPm12Ni6
1.0
8.2498 0.0000 -2.9168
-4.1249 7.1446 -2.9168
0.0000 0.0000 8.7503
Na Pm Ni
1 12 6
direct
0.0000 0.0000 0.0000
0.3129 0.1245 0.8116
0.3129 0.5013 0.1884
0.6871 0.4987 0.8116
0.6871 0.8755 0.1884
0.1245 0.8116 0.3129
0.5013 0.1884 0.3129
0.4987 0.8116 0.6871
0.8755 0.1884 0.6871
0.8116 0.3129 0.1245
0.1884 0.3129 0.5013
0.8116 0.6871 0.4987
0.1884 0.6871 0.8755
0.3794 0.5000 0.8794
0.6206 0.5000 0.1206
0.5000 0.8794 0.3794
0.5000 0.1206 0.6206
0.8794 0.3794 0.5000
0.1206 0.6206 0.5000
```

[6]
The following is a PBE-GGA calculation of NaPm2Ni after structural relaxation, from the Alexandria database.

Output
The formation energy is -0.061 eV per atom. The value obtained for the final energy is -16.844 eV per cell. As for the total magnetization: 0.000 μB/f.u. The symmetry is P4/mmm (123). For the relative energy among the computed polymorphs, the calculation gives 0 meV per atom.

POSCAR file:
```
NaPm2Ni
1.0
-2.6355 -2.0568 0.9081
0.9348 -2.2750 -2.4395
5.6398 -4.4430 6.3044
Ni Na Pm
1 1 2
direct
0.5000 0.5000 0.0000
0.5000 0.5000 0.5000
0.0000 0.0000 0.8270
0.0000 0.0000 0.1730
```

[7]
The following is a PBE-GGA calculation of NaPm2Ni after structural relaxation, from the Alexandria database.

Output
The formation energy is -0.052 eV per atom. The value obtained for the final energy is -16.809 eV per cell. As for the total magnetization: 0.000 μB/f.u. The symmetry is R3m (160). For the relative energy among the computed polymorphs, the calculation gives 9 meV per atom.

POSCAR file:
```
NaPm2Ni
1.0
4.0570 0.0000 0.0000
2.0285 3.5135 0.0000
2.0285 1.1712 9.1556
Na Pm Ni
1 2 1
direct
0.5005 0.5005 0.4985
0.0527 0.0527 0.8419
0.2804 0.2804 0.1588
0.6664 0.6664 0.0008
```

[8]
The following is a PBE-GGA calculation of NaPm2Ni after structural relaxation, from the Alexandria database.

Output
The formation energy is 0.017 eV per atom. The value obtained for the final energy is -16.533 eV per cell. As for the total magnetization: 0.000 μB/f.u. The symmetry is R-3m (166). For the relative energy among the computed polymorphs, the calculation gives 78 meV per atom.

POSCAR file:
```
NaPm2Ni
1.0
-2.1225 3.2678 -0.7811
-2.2373 0.1794 -3.2796
-9.5199 -2.8270 3.9319
Ni Na Pm
1 1 2
direct
0.5000 0.5000 0.5000
0.0000 0.0000 0.0000
0.1190 0.1190 0.6430
0.8810 0.8810 0.3570
```